Here is crystalline Tl3Te2WF6 at its relaxed geometry from Alexandria. Energies are from GGA+U.

Symmetry = C2/m (12)
DOS at the Fermi energy = 0.3329 states/eV/atom
Energy = -51.97 eV for the cell shown

Cell and atoms, written as POSCAR:
```
Tl3Te2WF6
1.0
-5.0261 -0.2525 -1.5830
2.2644 -1.0012 -7.0299
-1.8421 -6.7879 4.3244
F W Tl Te
6 1 3 2
Cartesian
-1.8097 -1.6749 -6.6310 F
-1.6690 -1.8627 -0.2723 F
-3.1483 -1.0830 -2.4751 F
-2.9348 -6.1790 -4.0162 F
-2.7941 -6.3667 2.3425 F
-1.4555 -6.9586 -1.8134 F
-2.5130 -0.1262 -0.7915 W
1.1322 -0.5006 -3.5150 Tl
-3.4341 -3.5202 1.3707 Tl
-2.3019 -4.0208 -2.1443 Tl
-5.3575 -4.8164 -1.0397 Te
0.7536 -3.2252 -3.2489 Te
```